VASP calculation (PBE+U) on crystalline Sr4MgMn2Ga2O11 at its relaxed geometry.

Lattice parameters (Å, degrees): 6.058 6.128 8.669 104.52 105.91 104.94
Each line ends with the local moment (μB).
Fractional coordinates of all 20 atoms:
O 0.872 0.680 0.023  0.00
Ga 0.511 0.477 0.985  0.01
Sr 0.212 0.571 0.235  0.00
Sr 0.605 0.215 0.299  0.00
Mn 0.784 0.762 0.522  3.87
O 0.273 0.009 0.383  -0.03
O 0.909 0.070 0.494  -0.08
O 0.048 0.547 0.562  0.00
O 0.826 0.936 0.756  -0.01
O 0.316 0.661 0.980  -0.01
Ga 0.998 0.980 0.982  0.00
O 0.465 0.289 0.764  0.05
Sr 0.406 0.883 0.783  0.00
O 0.679 0.624 0.270  -0.03
Mg 0.914 0.902 0.255  0.00
O 0.489 0.515 0.497  -0.01
Mn 0.235 0.292 0.534  3.92
Sr 0.890 0.379 0.761  0.00
O 0.315 0.186 0.028  0.00
O 0.885 0.152 0.136  0.00

Computed properties:
The value obtained for the size of the total moment is 8.00 Bohr magnetons per cell. The value obtained for the total energy is -6.381 eV/atom. As for the crystal system: triclinic. Its space-group type is P1 (1).